1.
Density functional theory data (PBE) for ZrPt2Cl after structural relaxation.

Cell and atoms, written as CIF:
```
data_ZrPt2Cl
_symmetry_space_group_name_H-M 'P 1'
_symmetry_Int_Tables_number 1
_symmetry_space_group_name_Hall 'P 1'
_cell_length_a 8.139
_cell_length_b 8.139
_cell_length_c 8.139
_cell_angle_alpha 24.34
_cell_angle_beta 24.34
_cell_angle_gamma 24.34
loop_
_atom_site_label
_atom_site_fract_x
_atom_site_fract_y
_atom_site_fract_z
Zr1 0.000 0.000 0.000
Pt1 0.256 0.256 0.256
Pt2 0.744 0.744 0.744
Cl1 0.500 0.500 0.500
```

Formation energy without anion corrections ... -0.447 eV/atom
V ... 80 Å³ per cell



2.
Density functional theory data (PBE) for Rb6AuO2 after structural relaxation.

Cell and atoms, written as CIF:
```
data_Rb6AuO2
_symmetry_space_group_name_H-M 'P 1'
_symmetry_Int_Tables_number 1
_symmetry_space_group_name_Hall 'P 1'
_cell_length_a 10.070
_cell_length_b 10.070
_cell_length_c 10.070
_cell_angle_alpha 60.00
_cell_angle_beta 60.00
_cell_angle_gamma 60.00
loop_
_atom_site_label
_atom_site_fract_x
_atom_site_fract_y
_atom_site_fract_z
Rb1 0.082 0.082 0.668
Rb2 0.082 0.668 0.082
Rb3 0.082 0.668 0.668
Rb4 0.332 0.332 0.918
Rb5 0.332 0.918 0.332
Rb6 0.332 0.918 0.918
Rb7 0.668 0.082 0.082
Rb8 0.668 0.082 0.668
Rb9 0.668 0.668 0.082
Rb10 0.918 0.332 0.332
Rb11 0.918 0.332 0.918
Rb12 0.918 0.918 0.332
Au1 0.375 0.375 0.375
Au2 0.625 0.625 0.625
O1 0.000 0.000 0.000
O2 0.000 0.000 0.500
O3 0.000 0.500 0.000
O4 0.500 0.000 0.000
```

Formation energy without anion corrections ... -0.616 eV/atom
V ... 722 Å³ per cell



3.
Density functional theory data (PBE) for GaHgMo after structural relaxation.

Cell and atoms, written as CIF:
```
data_GaHgMo
_symmetry_space_group_name_H-M 'P 1'
_symmetry_Int_Tables_number 1
_symmetry_space_group_name_Hall 'P 1'
_cell_length_a 3.190
_cell_length_b 3.191
_cell_length_c 12.387
_cell_angle_alpha 91.23
_cell_angle_beta 91.44
_cell_angle_gamma 90.02
loop_
_atom_site_label
_atom_site_fract_x
_atom_site_fract_y
_atom_site_fract_z
Ga1 0.232 0.235 0.323
Ga2 0.768 0.765 0.677
Hg1 0.280 0.279 0.101
Hg2 0.720 0.721 0.899
Mo1 0.255 0.255 0.558
Mo2 0.745 0.745 0.442
```

ΔE_f ... 0.03 eV/atom
V ... 126 Å³ per cell



For the records above, the corresponding theoretical density values read 10.66; 3.41; 9.65 g/cm3.
For the records above, the corresponding offset from the most stable computed form values read 20.8; 3.3; 0.0 kJ per mole of atoms.
For the records above, the corresponding calculated total energy values read -6.066; -2.727; -4.690 eV/atom.